# KLi2Au

KLi2Au at its PBEsol-relaxed geometry (SCAN, Alexandria).

Properties
The calculation puts the energy of formation from the pure elements at -0.3347 eV per atom. The total moment is 0.0 μB/f.u.

Cell and atoms, written as extended XYZ:
```
4
Lattice="-3.1029 -1.9214 2.6470 0.6775 -4.1528 1.6193 1.8989 0.3173 6.2958" Properties=species:S:1:pos:R:3 pbc="T T T"
K -0.0735 -1.3889 2.7453
Au 0.2868 -2.4025 6.2714
Li 1.4631 -0.0597 5.5114
Li -0.5675 -4.4669 7.6110
```

***

# LiHfIr3

LiHfIr3 at its PBEsol-relaxed geometry (SCAN, Alexandria).

Properties
The calculation puts the energy of formation from the pure elements at -0.1622 eV per atom. The total moment is 0.0 μB/f.u.

Cell and atoms, written as extended XYZ:
```
5
Lattice="-2.1430 2.8731 2.0354 1.9037 -1.0591 3.4992 2.9621 2.7593 -0.7763" Properties=species:S:1:pos:R:3 pbc="T T T"
Ir 0.9518 -0.5295 1.7496
Ir 1.4810 1.3796 -0.3882
Ir -1.0715 1.4366 1.0177
Hf 1.3614 2.2867 2.3792
Li 0.0000 0.0000 0.0000
```

***

# CsNdW2O8

CsNdW2O8 at its PBEsol-relaxed geometry (SCAN, Alexandria).

Properties
As for the uncorrected energy: -25.263 eV per atom. The total moment is 0.0 μB/f.u.

Cell and atoms, written as extended XYZ:
```
24
Lattice="7.5929 -0.0145 0.0188 3.4964 6.7934 0.0342 -3.4964 1.7588 6.5619" Properties=species:S:1:pos:R:3 pbc="T T T"
Cs 5.6947 6.8463 5.3029
Cs 1.8982 1.6913 1.3120
Nd 5.6947 1.9350 1.5150
Nd 1.8982 6.6026 5.1000
W 7.2165 5.1915 2.0329
W 0.3764 3.3462 4.5820
W 4.1728 3.2632 4.5331
W 3.4201 5.2745 2.0819
O 5.5714 5.7473 2.5178
O 2.0215 2.7903 4.0971
O 5.8180 3.8734 4.9475
O 1.7749 4.6643 1.6675
O 4.6688 1.5591 4.0332
O 2.9241 6.9786 2.5818
O 6.7206 4.2751 0.5117
O 0.8723 4.2625 6.1033
O 7.2318 3.2414 2.7742
O 0.3610 5.2962 3.8407
O 4.1575 3.4848 2.4586
O 3.4354 5.0529 4.1563
O 7.8530 6.7657 1.4263
O -0.2601 1.7720 5.1887
O 3.5363 3.0763 6.2097
O 4.0565 5.4613 0.4052
```

***

# Ba2CdRu

Ba2CdRu at its PBEsol-relaxed geometry (SCAN, Alexandria).

Properties
The calculation puts the energy of formation from the pure elements at 0.4660 eV per atom. The total moment is 0.0 μB/f.u.

Cell and atoms, written as extended XYZ:
```
4
Lattice="5.2963 0.0000 0.0000 2.6481 4.5867 0.0000 2.6481 1.5289 4.3244" Properties=species:S:1:pos:R:3 pbc="T T T"
Ba 0.0000 0.0000 0.0000
Ba 7.9444 4.5867 3.2433
Cd 5.2963 3.0578 2.1622
Ru 2.6481 1.5289 1.0811
```

***

# TlInI2O

TlInI2O at its PBEsol-relaxed geometry (SCAN, Alexandria).

Properties
As for the uncorrected energy: -37.800 eV per atom. The total moment is 0.0 μB/f.u.

Cell and atoms, written as extended XYZ:
```
5
Lattice="-3.3299 0.9592 1.9105 -2.9564 -4.3677 -2.9601 1.3912 -3.9183 4.3921" Properties=species:S:1:pos:R:3 pbc="T T T"
I 0.6956 -1.9592 2.1961
I -1.4782 -2.1839 -1.4800
Tl -2.4476 -3.6634 1.6712
O -1.6650 0.4796 0.9552
In 0.0000 0.0000 0.0000
```

***

# YIrRh

YIrRh at its PBEsol-relaxed geometry (SCAN, Alexandria).

Properties
The calculation puts the energy of formation from the pure elements at -0.2501 eV per atom. The total moment is 0.0 μB/f.u. The energy above the most stable polymorph in this dataset comes out at 14 meV/atom.

Cell and atoms, written as extended XYZ:
```
3
Lattice="2.9543 0.0000 0.0000 0.0000 2.9543 0.0000 -1.4772 -1.4772 5.9245" Properties=species:S:1:pos:R:3 pbc="T T T"
Ir 0.0000 0.0000 0.1513
Rh 1.4772 1.4772 1.8094
Y 0.0000 0.0000 3.9638
```